[1]
Compound: Sr3MoPd
Source: the Alexandria database
Functional: PBE-GGA
Structure: relaxed

For the formation energy, the calculation gives 0.54 eV/atom. Its raw total energy is -3.671 eV/atom. The symmetry is Pm-3m.

```
data_Sr3MoPd
_chemical_formula_sum 'Sr3 Mo1 Pd1'
_symmetry_space_group_name_H-M 'P 1'
_symmetry_Int_Tables_number 1
_cell_length_a 5.848
_cell_length_b 5.848
_cell_length_c 5.848
_cell_angle_alpha 90.00
_cell_angle_beta 90.00
_cell_angle_gamma 90.00
loop_
_symmetry_equiv_pos_as_xyz
'x,y,z'
loop_
_atom_site_label
_atom_site_fract_x
_atom_site_fract_y
_atom_site_fract_z
Mo1 0.500 0.500 0.500
Sr1 0.000 0.500 0.000
Sr2 0.000 0.000 0.500
Sr3 0.500 0.000 0.000
Pd1 0.000 0.000 0.000
```



[2]
Compound: Pm2Cd2PPt4
Source: the Alexandria database
Functional: PBE-GGA
Structure: relaxed

For the formation energy, the calculation gives -0.65 eV/atom. Its raw total energy is -5.194 eV/atom. The symmetry is I4/mmm.

```
data_Pm2Cd2PPt4
_chemical_formula_sum 'Pm2 Cd2 P1 Pt4'
_symmetry_space_group_name_H-M 'P 1'
_symmetry_Int_Tables_number 1
_cell_length_a 6.266
_cell_length_b 6.266
_cell_length_c 6.266
_cell_angle_alpha 100.27
_cell_angle_beta 114.26
_cell_angle_gamma 114.26
loop_
_symmetry_equiv_pos_as_xyz
'x,y,z'
loop_
_atom_site_label
_atom_site_fract_x
_atom_site_fract_y
_atom_site_fract_z
Pt1 0.000 0.241 0.759
P1 0.000 0.000 0.000
Pm1 0.500 0.250 0.750
Pt2 0.000 0.759 0.241
Pt3 0.482 0.241 0.241
Pt4 0.518 0.759 0.759
Cd1 0.000 0.325 0.325
Cd2 0.000 0.675 0.675
Pm2 0.500 0.750 0.250
```



[3]
Compound: ErHgTe2
Source: the Alexandria database
Functional: PBE-GGA
Structure: relaxed

Its raw total energy is -3.533 eV/atom. The symmetry is R-3m. Its uncorrected formation energy is -746 meV per atom.

```
data_ErHgTe2
_chemical_formula_sum 'Er1 Hg1 Te2'
_symmetry_space_group_name_H-M 'P 1'
_symmetry_Int_Tables_number 1
_cell_length_a 4.436
_cell_length_b 4.436
_cell_length_c 9.600
_cell_angle_alpha 76.64
_cell_angle_beta 76.64
_cell_angle_gamma 60.00
loop_
_symmetry_equiv_pos_as_xyz
'x,y,z'
loop_
_atom_site_label
_atom_site_fract_x
_atom_site_fract_y
_atom_site_fract_z
Te1 0.107 0.107 0.680
Er1 0.500 0.500 0.500
Te2 0.893 0.893 0.320
Hg1 0.000 0.000 0.000
```



[4]
Compound: La15TbHo4
Source: the Alexandria database
Functional: PBE-GGA
Structure: relaxed

For the formation energy, the calculation gives 0.01 eV/atom. Its raw total energy is -4.835 eV/atom. The symmetry is P4/mmm.

```
data_La15TbHo4
_chemical_formula_sum 'La15 Tb1 Ho4'
_symmetry_space_group_name_H-M 'P 1'
_symmetry_Int_Tables_number 1
_cell_length_a 5.204
_cell_length_b 5.204
_cell_length_c 26.033
_cell_angle_alpha 90.00
_cell_angle_beta 90.00
_cell_angle_gamma 90.00
loop_
_symmetry_equiv_pos_as_xyz
'x,y,z'
loop_
_atom_site_label
_atom_site_fract_x
_atom_site_fract_y
_atom_site_fract_z
La1 0.500 0.500 0.600
La2 0.000 0.500 0.900
La3 0.500 0.000 0.300
Ho1 0.000 0.000 0.600
La4 0.500 0.500 0.400
Ho2 0.000 0.000 0.400
Ho3 0.000 0.000 0.200
La5 0.500 0.000 0.100
La6 0.000 0.500 0.100
La7 0.500 0.500 0.200
La8 0.000 0.500 0.700
Ho4 0.000 0.000 0.800
La9 0.500 0.500 0.000
La10 0.500 0.000 0.500
La11 0.000 0.500 0.500
La12 0.000 0.500 0.300
Tb1 0.000 0.000 0.000
La13 0.500 0.500 0.800
La14 0.500 0.000 0.700
La15 0.500 0.000 0.900
```



[5]
Compound: K2Na3PaF12
Source: the Alexandria database
Functional: PBE-GGA
Structure: relaxed

Its raw total energy is -4.847 eV/atom. The symmetry is R-3m. Its uncorrected formation energy is -2730 meV per atom.

```
data_K2Na3PaF12
_chemical_formula_sum 'K2 Na3 Pa1 F12'
_symmetry_space_group_name_H-M 'P 1'
_symmetry_Int_Tables_number 1
_cell_length_a 8.426
_cell_length_b 8.426
_cell_length_c 8.426
_cell_angle_alpha 55.67
_cell_angle_beta 55.67
_cell_angle_gamma 55.67
loop_
_symmetry_equiv_pos_as_xyz
'x,y,z'
loop_
_atom_site_label
_atom_site_fract_x
_atom_site_fract_y
_atom_site_fract_z
Na1 0.000 0.500 0.000
F1 0.928 0.928 0.312
F2 0.342 0.342 0.861
F3 0.072 0.072 0.688
F4 0.861 0.342 0.342
F5 0.928 0.312 0.928
Na2 0.000 0.000 0.500
F6 0.342 0.861 0.342
K1 0.426 0.426 0.426
Pa1 0.000 0.000 0.000
F7 0.658 0.139 0.658
K2 0.574 0.574 0.574
F8 0.139 0.658 0.658
F9 0.312 0.928 0.928
F10 0.688 0.072 0.072
Na3 0.500 0.000 0.000
F11 0.658 0.658 0.139
F12 0.072 0.688 0.072
```



[6]
Compound: Cu2As2I
Source: the Alexandria database
Functional: PBE-GGA
Structure: relaxed

Its raw total energy is -3.530 eV/atom. The symmetry is I4/mmm. Its uncorrected formation energy is 279 meV per atom.

```
data_Cu2As2I
_chemical_formula_sum 'Cu2 As2 I1'
_symmetry_space_group_name_H-M 'P 1'
_symmetry_Int_Tables_number 1
_cell_length_a 4.071
_cell_length_b 4.071
_cell_length_c 7.285
_cell_angle_alpha 73.78
_cell_angle_beta 73.78
_cell_angle_gamma 90.00
loop_
_symmetry_equiv_pos_as_xyz
'x,y,z'
loop_
_atom_site_label
_atom_site_fract_x
_atom_site_fract_y
_atom_site_fract_z
Cu1 0.643 0.643 0.715
Cu2 0.357 0.357 0.285
As1 0.750 0.250 0.500
I1 0.000 0.000 0.000
As2 0.250 0.750 0.500
```